A.
Compound: TiSiP3
Source: Alexandria
Functional: PBE-GGA
Structure: optimized geometry

```
data_TiSiP3
_chemical_formula_sum 'Ti1 Si1 P3'
_space_group_name_H-M_alt 'P 1'
_space_group_IT_number 1
_space_group_name_Hall 'P 1'
_cell_length_a 4.678
_cell_length_b 4.678
_cell_length_c 4.678
_cell_angle_alpha 90.00
_cell_angle_beta 90.00
_cell_angle_gamma 90.00
loop_
_atom_site_label
_atom_site_fract_x
_atom_site_fract_y
_atom_site_fract_z
Ti1 0.000 0.000 0.000
P1 0.500 0.000 0.000
P2 0.000 0.000 0.500
Si1 0.500 0.500 0.500
P3 0.000 0.500 0.000
```



B.
Compound: TiSiP3
Source: Alexandria
Functional: PBE-GGA
Structure: optimized geometry

```
data_TiSiP3
_chemical_formula_sum 'Ti1 Si1 P3'
_space_group_name_H-M_alt 'P 1'
_space_group_IT_number 1
_space_group_name_Hall 'P 1'
_cell_length_a 4.467
_cell_length_b 4.467
_cell_length_c 4.467
_cell_angle_alpha 90.00
_cell_angle_beta 90.00
_cell_angle_gamma 90.00
loop_
_atom_site_label
_atom_site_fract_x
_atom_site_fract_y
_atom_site_fract_z
P1 0.000 0.500 0.000
Ti1 0.500 0.500 0.500
P2 0.000 0.000 0.500
P3 0.500 0.000 0.000
Si1 0.000 0.000 0.000
```



Relative energies, unit eV/atom: A 0.000; B 0.048